Record 1
A relaxed LiAlCu crystal, computed with PBE-GGA.

Unit cell a=3.951 b=11.922 c=6.154 alpha=90.00 beta=90.00 gamma=90.00
Space group Imm2 (No. 44)
Unique sites:
1 Li 0.000 0.000 0.000 x2
2 Li 0.000 0.351 0.121 x4
3 Al 0.000 0.000 0.555 x2
4 Al 0.000 0.310 0.587 x4
5 Cu 0.000 0.156 0.313 x4
6 Cu 0.000 0.500 0.791 x2

Summary:
- M_tot (Bohr magnetons per cell) = 0.00
- E (eV per atom) = -3.3016

Record 2
A relaxed LiAlCu crystal, computed with PBE-GGA.

Unit cell a=7.624 b=2.711 c=8.129 alpha=90.00 beta=90.08 gamma=90.00
Space group P2_1/c (No. 14)
Unique sites:
1 Li 0.068 0.248 0.125 x4
2 Al 0.388 0.749 0.125 x4
3 Cu 0.269 0.247 0.375 x4

Summary:
- M_tot (Bohr magnetons per cell) = 0.00
- E (eV per atom) = -3.3736

Record 3
A relaxed Li2AlCu8 crystal, computed with PBE-GGA.

Unit cell a=3.988 b=6.220 c=11.144 alpha=90.00 beta=90.00 gamma=90.00
Space group Immm (No. 71)
Unique sites:
1 Li 0.000 0.000 0.205 x4
2 Al 0.000 0.000 0.500 x2
3 Cu 0.000 0.202 0.000 x4
4 Cu 0.000 0.295 0.354 x8
5 Cu 0.000 0.500 0.154 x4

Summary:
- M_tot (Bohr magnetons per cell) = 0.00
- E (eV per atom) = -3.6729

Record 4
A relaxed LiAl2Cu crystal, computed with PBE-GGA.

Unit cell a=7.400 b=7.400 c=5.133 alpha=90.00 beta=90.00 gamma=90.00
Space group I-42d (No. 122)
Unique sites:
1 Li 0.000 0.000 0.000 x4
2 Al 0.195 0.750 0.625 x8
3 Cu 0.000 0.000 0.500 x4

Summary:
- M_tot (Bohr magnetons per cell) = 0.00
- E (eV per atom) = -3.2504

Record 5
A relaxed Li2AlCu5 crystal, computed with PBE-GGA.

Unit cell a=3.812 b=3.812 c=14.032 alpha=90.00 beta=90.00 gamma=90.00
Space group I4/mmm (No. 139)
Unique sites:
1 Li 0.000 0.000 0.249 x4
2 Al 0.000 0.000 0.500 x2
3 Cu 0.000 0.000 0.000 x2
4 Cu 0.000 0.500 0.120 x8

Summary:
- M_tot (Bohr magnetons per cell) = 0.00
- E (eV per atom) = -3.5943

Record 6
A relaxed LiMg2Al2Cu5 crystal, computed with PBE-GGA.

Unit cell a=9.285 b=9.285 c=3.504 alpha=90.00 beta=90.00 gamma=90.00
Space group P4/mbm (No. 127)
Unique sites:
1 Li 0.000 0.000 0.000 x2
2 Mg 0.172 0.328 0.000 x4
3 Al 0.129 0.629 0.000 x4
4 Cu 0.000 0.500 0.500 x2
5 Cu 0.055 0.804 0.500 x8

Summary:
- M_tot (Bohr magnetons per cell) = 0.00
- E (eV per atom) = -3.3437

Record 7
A relaxed LiMgAlCu2 crystal, computed with PBE-GGA.

Unit cell a=4.738 b=4.738 c=5.016 alpha=90.00 beta=90.00 gamma=90.00
Space group P4/mmm (No. 123)
Unique sites:
1 Li 0.000 0.000 0.000 x1
2 Mg 0.500 0.500 0.500 x1
3 Al 0.500 0.500 0.000 x1
4 Cu 0.000 0.500 0.500 x2

Summary:
- M_tot (Bohr magnetons per cell) = 0.00
- E (eV per atom) = -2.3522

Record 8
A relaxed LiMn2AlCu crystal, computed with PBE-GGA.

Unit cell a=4.739 b=4.739 c=4.513 alpha=90.00 beta=90.00 gamma=90.00
Space group P4/mmm (No. 123)
Unique sites:
1 Li 0.000 0.000 0.000 x1
2 Mn 0.000 0.500 0.500 x2
3 Al 0.500 0.500 0.500 x1
4 Cu 0.500 0.500 0.000 x1

Summary:
- M_tot (Bohr magnetons per cell) = 7.61
- E (eV per atom) = -4.8301

Record 9
A relaxed LiNdAlCu crystal, computed with PBE-GGA.

Unit cell a=6.677 b=6.677 c=6.677 alpha=90.00 beta=90.00 gamma=90.00
Space group F-43m (No. 216)
Unique sites:
1 Li 0.000 0.000 0.000 x4
2 Nd 0.250 0.250 0.250 x4
3 Al 0.250 0.250 0.750 x4
4 Cu 0.000 0.000 0.500 x4

Summary:
- M_tot (Bohr magnetons per cell) = 0.00
- E (eV per atom) = -3.9144

Record 10
A relaxed Li3Nd2AlCu12 crystal, computed with PBE-GGA.

Unit cell a=8.7071 b=8.7071 c=12.5679 alpha=90.00 beta=90.00 gamma=120.00
Space group R-3m (No. 166, hexagonal axes)
Unique sites:
1 Li 0.0000 0.5000 0.0000 x9
2 Nd 0.0000 0.0000 0.2224 x6
3 Al 0.0000 0.0000 0.5000 x3
4 Cu 0.0244 0.5122 0.2130 x18
5 Cu 0.0536 0.5268 0.5998 x18

Summary:
- M_tot (Bohr magnetons per cell) = 0.00
- E (eV per atom) = -3.7654

Record 11
A relaxed LiNd2Al4Cu3 crystal, computed with PBE-GGA.

Unit cell a=4.274 b=4.274 c=10.241 alpha=90.00 beta=90.00 gamma=90.00
Space group P-4m2 (No. 115)
Unique sites:
1 Li 0.000 0.000 0.000 x1
2 Nd 0.000 0.500 0.750 x2
3 Al 0.000 0.000 0.500 x1
4 Al 0.000 0.500 0.134 x2
5 Al 0.500 0.500 0.500 x1
6 Cu 0.000 0.500 0.372 x2
7 Cu 0.500 0.500 0.000 x1

Summary:
- M_tot (Bohr magnetons per cell) = 0.00
- E (eV per atom) = -4.2124

Record 12
A relaxed LiNd2AlCu6 crystal, computed with PBE-GGA.

Unit cell a=11.988 b=5.062 c=8.371 alpha=90.00 beta=133.92 gamma=90.00
Space group C2/m (No. 12)
Unique sites:
1 Li 0.000 0.000 0.000 x2
2 Nd 0.245 0.000 0.791 x4
3 Al 0.000 0.500 0.500 x2
4 Cu 0.014 0.250 0.265 x8
5 Cu 0.249 0.000 0.423 x4

Summary:
- M_tot (Bohr magnetons per cell) = 0.00
- E (eV per atom) = -4.0800

Record 13
A relaxed Li2AlCuO4 crystal, computed with PBE-GGA.

Unit cell a=5.003 b=2.873 c=5.093 alpha=90.00 beta=109.18 gamma=90.00
Space group P2/m (No. 10)
Unique sites:
1 Li 0.000 0.000 0.000 x1
2 Li 0.500 0.500 0.000 x1
3 Al 0.000 0.500 0.500 x1
4 Cu 0.500 0.000 0.500 x1
5 O 0.228 0.000 0.720 x2
6 O 0.244 0.500 0.277 x2

Summary:
- M_tot (Bohr magnetons per cell) = 1.96
- E (eV per atom) = -5.7992

Record 14
A relaxed LiAlCuOs crystal, computed with PBE-GGA.

Unit cell a=5.895 b=5.895 c=5.895 alpha=90.00 beta=90.00 gamma=90.00
Space group F-43m (No. 216)
Unique sites:
1 Li 0.000 0.000 0.000 x4
2 Al 0.000 0.000 0.500 x4
3 Cu 0.250 0.250 0.750 x4
4 Os 0.250 0.250 0.250 x4

Summary:
- M_tot (Bohr magnetons per cell) = 0.00
- E (eV per atom) = -5.2958

Record 15
A relaxed LiAl4CuPd2 crystal, computed with PBE-GGA.

Unit cell a=4.3081 b=4.3081 c=21.0701 alpha=90.00 beta=90.00 gamma=120.00
Space group R-3m (No. 166, hexagonal axes)
Unique sites:
1 Li 0.0000 0.0000 0.0000 x3
2 Al 0.0000 0.0000 0.1263 x6
3 Al 0.0000 0.0000 0.3763 x6
4 Cu 0.0000 0.0000 0.5000 x3
5 Pd 0.0000 0.0000 0.2525 x6

Summary:
- M_tot (Bohr magnetons per cell) = 0.00
- E (eV per atom) = -4.5010

Record 16
A relaxed LiAl2CuPd crystal, computed with PBE-GGA.

Unit cell a=4.693 b=4.693 c=4.560 alpha=90.00 beta=90.00 gamma=90.00
Space group P4/mmm (No. 123)
Unique sites:
1 Li 0.000 0.000 0.000 x1
2 Al 0.000 0.500 0.500 x2
3 Cu 0.500 0.500 0.000 x1
4 Pd 0.000 0.000 0.500 x1

Summary:
- M_tot (Bohr magnetons per cell) = 0.00
- E (eV per atom) = -3.6001

Record 17
A relaxed Li2Al4CuPd crystal, computed with PBE-GGA.

Unit cell a=4.290 b=4.298 c=6.033 alpha=90.00 beta=90.00 gamma=90.00
Space group Pmmm (No. 47)
Unique sites:
1 Li 0.000 0.000 0.000 x1
2 Li 0.500 0.500 0.500 x1
3 Al 0.000 0.500 0.248 x2
4 Al 0.500 0.000 0.246 x2
5 Cu 0.500 0.500 0.000 x1
6 Pd 0.000 0.000 0.500 x1

Summary:
- M_tot (Bohr magnetons per cell) = 0.00
- E (eV per atom) = -3.9385

Record 18
A relaxed LiPm2AlCu6 crystal, computed with PBE-GGA.

Unit cell a=11.964 b=5.045 c=8.366 alpha=90.00 beta=134.21 gamma=90.00
Space group C2/m (No. 12)
Unique sites:
1 Li 0.000 0.000 0.000 x2
2 Pm 0.245 0.000 0.790 x4
3 Al 0.000 0.500 0.500 x2
4 Cu 0.012 0.250 0.263 x8
5 Cu 0.249 0.000 0.424 x4

Summary:
- M_tot (Bohr magnetons per cell) = 0.00
- E (eV per atom) = -4.0776

Record 19
A relaxed LiPmAl2Cu4 crystal, computed with PBE-GGA.

Unit cell a=4.2245 b=4.2245 c=24.5503 alpha=90.00 beta=90.00 gamma=120.00
Space group R-3m (No. 166, hexagonal axes)
Unique sites:
1 Li 0.0000 0.0000 0.0000 x3
2 Pm 0.0000 0.0000 0.5000 x3
3 Al 0.0000 0.0000 0.2623 x6
4 Cu 0.0000 0.0000 0.0953 x6
5 Cu 0.0000 0.0000 0.3697 x6

Summary:
- M_tot (Bohr magnetons per cell) = 0.00
- E (eV per atom) = -4.0736

Record 20
A relaxed LiPm4Al2Cu crystal, computed with PBE-GGA.

Unit cell a=5.2298 b=5.2298 c=25.5851 alpha=90.00 beta=90.00 gamma=120.00
Space group R-3m (No. 166, hexagonal axes)
Unique sites:
1 Li 0.0000 0.0000 0.0000 x3
2 Pm 0.0000 0.0000 0.1295 x6
3 Pm 0.0000 0.0000 0.3800 x6
4 Al 0.0000 0.0000 0.2551 x6
5 Cu 0.0000 0.0000 0.5000 x3

Summary:
- M_tot (Bohr magnetons per cell) = 0.00
- E (eV per atom) = -4.2880

Record 21
A relaxed LiPmAlCu crystal, computed with PBE-GGA.

Unit cell a=6.641 b=6.641 c=6.641 alpha=90.00 beta=90.00 gamma=90.00
Space group F-43m (No. 216)
Unique sites:
1 Li 0.000 0.000 0.000 x4
2 Pm 0.250 0.250 0.250 x4
3 Al 0.250 0.250 0.750 x4
4 Cu 0.000 0.000 0.500 x4

Summary:
- M_tot (Bohr magnetons per cell) = 0.00
- E (eV per atom) = -3.9236

Record 22
A relaxed LiPmAl3Cu crystal, computed with PBE-GGA.

Unit cell a=5.994 b=12.787 c=5.990 alpha=90.00 beta=90.00 gamma=90.00
Space group Cmcm (No. 63)
Unique sites:
1 Li 0.000 0.149 0.250 x4
2 Pm 0.000 0.209 0.750 x4
3 Al 0.000 0.366 0.250 x4
4 Al 0.216 0.000 0.000 x8
5 Cu 0.000 0.425 0.750 x4

Summary:
- M_tot (Bohr magnetons per cell) = 0.00
- E (eV per atom) = -3.8214

Record 23
A relaxed Li3Pm2AlCu12 crystal, computed with PBE-GGA.

Unit cell a=8.6951 b=8.6951 c=12.5391 alpha=90.00 beta=90.00 gamma=120.00
Space group R-3m (No. 166, hexagonal axes)
Unique sites:
1 Li 0.0000 0.5000 0.0000 x9
2 Pm 0.0000 0.0000 0.2211 x6
3 Al 0.0000 0.0000 0.5000 x3
4 Cu 0.0238 0.5119 0.2127 x18
5 Cu 0.0523 0.5262 0.5995 x18

Summary:
- M_tot (Bohr magnetons per cell) = 0.00
- E (eV per atom) = -3.7690